The following is a PBE+U calculation of crystalline KLiCo2F8 at its relaxed geometry, from Alexandria via LeMat-Bulk.

Cell lengths 4.8274, 4.8447, 7.4772 Å; angles 87.78, 87.40, 82.01 degrees
Positions (direct):
K 0.0000 0.0000 0.0000
Li 0.0000 0.0000 0.5000
Co 0.4849 0.4891 0.6989
Co 0.5151 0.5109 0.3011
F 0.2233 0.7940 0.7008
F 0.2244 0.7882 0.2951
F 0.3173 0.3326 0.4846
F 0.3325 0.3559 0.9018
F 0.6675 0.6441 0.0982
F 0.6827 0.6674 0.5154
F 0.7756 0.2118 0.7049
F 0.7767 0.2060 0.2992

Properties
space-group type: No. 2
E_tot: -0.33259 Ry per atom